Run A
{
  "formula": "Pm2Er2Tl3",
  "functional": "PBE",
  "state": "relaxed",
  "rho_kg_m3": 10160,
  "volume_a3_per_cell": 202.3,
  "dos_ef_per_ev_atom": 0.950,
  "lattice_angstrom": [[3.713, 0.454, 0.570], [-1.121, 8.566, 0.442], [1.031, -0.681, 6.360]],
  "species": ["Tl", "Tl", "Pm", "Er", "Tl", "Er", "Pm"],
  "fractional_positions": [[0.147, 0.544, 0.707], [0.853, 0.456, 0.293], [0.706, 0.841, 0.588], [0.563, 0.284, 0.873], [0.000, 0.000, 0.000], [0.437, 0.716, 0.127], [0.294, 0.159, 0.412]]
}

Run B
{
  "formula": "Pm2Er2Tl3",
  "functional": "PBE",
  "state": "relaxed",
  "rho_kg_m3": 9998,
  "volume_a3_per_cell": 205.6,
  "dos_ef_per_ev_atom": 1.053,
  "lattice_angstrom": [[-1.536, 1.689, -2.690], [-1.077, -3.149, -1.362], [-14.525, 1.871, 7.157]],
  "species": ["Tl", "Er", "Tl", "Er", "Pm", "Tl", "Pm"],
  "fractional_positions": [[0.000, 0.000, 0.000], [0.703, 0.500, 0.594], [0.861, 0.000, 0.279], [0.297, 0.500, 0.406], [0.570, 0.500, 0.861], [0.139, 0.000, 0.721], [0.430, 0.500, 0.139]]
}

Name the most stable of them. run A.

Run A
{
  "formula": "PmEr2Tl",
  "functional": "PBE",
  "state": "relaxed",
  "rho_kg_m3": 9822,
  "volume_a3_per_cell": 115.6,
  "dos_ef_per_ev_atom": 1.394,
  "lattice_angstrom": [[5.468, 0.000, 0.000], [2.734, 4.736, 0.000], [2.734, 1.579, 4.465]],
  "species": ["Er", "Er", "Tl", "Pm"],
  "fractional_positions": [[0.250, 0.250, 0.250], [0.750, 0.750, 0.750], [0.500, 0.500, 0.500], [0.000, 0.000, 0.000]]
}

Run B
{
  "formula": "PmEr2Tl",
  "functional": "PBE",
  "state": "relaxed",
  "rho_kg_m3": 9098,
  "volume_a3_per_cell": 249.7,
  "dos_ef_per_ev_atom": 1.177,
  "lattice_angstrom": [[-1.120, 3.306, 2.988], [3.001, -5.020, 3.149], [7.735, 3.804, -1.309]],
  "species": ["Pm", "Tl", "Er", "Er", "Pm", "Er", "Er", "Tl"],
  "fractional_positions": [[0.943, 0.886, 0.250], [0.766, 0.532, 0.750], [0.365, 0.730, 0.552], [0.365, 0.730, 0.948], [0.057, 0.114, 0.750], [0.635, 0.270, 0.448], [0.635, 0.270, 0.052], [0.234, 0.468, 0.250]]
}

Run C
{
  "formula": "PmEr2Tl",
  "functional": "PBE",
  "state": "relaxed",
  "rho_kg_m3": 9384,
  "volume_a3_per_cell": 121.0,
  "dos_ef_per_ev_atom": 0.981,
  "lattice_angstrom": [[-1.565, -2.326, 2.198], [0.775, -3.470, -0.233], [7.916, -0.593, 7.898]],
  "species": ["Er", "Er", "Tl", "Pm"],
  "fractional_positions": [[0.746, 0.746, 0.763], [0.254, 0.254, 0.237], [0.000, 0.000, 0.000], [0.500, 0.500, 0.500]]
}

Name the most stable of them. run C.

Run A
{
  "formula": "PmEr2Tl",
  "functional": "PBE",
  "state": "relaxed",
  "rho_kg_m3": 9492,
  "volume_a3_per_cell": 119.6,
  "dos_ef_per_ev_atom": 0.912,
  "lattice_angstrom": [[3.631, 0.000, 0.000], [0.000, 3.631, 0.000], [0.000, 0.000, 9.076]],
  "species": ["Tl", "Er", "Er", "Pm"],
  "fractional_positions": [[0.500, 0.500, 0.000], [0.000, 0.000, 0.225], [0.000, 0.000, 0.775], [0.500, 0.500, 0.500]]
}

Run B
{
  "formula": "PmEr2Tl",
  "functional": "PBE",
  "state": "relaxed",
  "rho_kg_m3": 9858,
  "volume_a3_per_cell": 115.2,
  "dos_ef_per_ev_atom": 1.284,
  "lattice_angstrom": [[-0.868, 4.263, 2.082], [-4.730, -1.162, 0.407], [0.861, -1.969, 4.390]],
  "species": ["Tl", "Er", "Pm", "Er"],
  "fractional_positions": [[0.500, 0.000, 0.000], [0.000, 0.000, 0.500], [0.500, 0.500, 0.500], [0.000, 0.500, 0.000]]
}

Run C
{
  "formula": "PmEr2Tl",
  "functional": "PBE",
  "state": "relaxed",
  "rho_kg_m3": 9272,
  "volume_a3_per_cell": 122.5,
  "dos_ef_per_ev_atom": 1.324,
  "lattice_angstrom": [[-2.277, -0.188, 2.780], [1.229, -0.829, 3.279], [1.296, 10.260, 4.084]],
  "species": ["Pm", "Tl", "Er", "Er"],
  "fractional_positions": [[0.500, 0.500, 0.500], [0.667, 0.667, 0.000], [0.256, 0.256, 0.233], [0.078, 0.078, 0.766]]
}

Run D
{
  "formula": "PmEr2Tl",
  "functional": "PBE",
  "state": "relaxed",
  "rho_kg_m3": 9235,
  "volume_a3_per_cell": 246.0,
  "dos_ef_per_ev_atom": 0.985,
  "lattice_angstrom": [[-4.030, -1.376, 2.253], [-1.361, -2.306, -3.844], [5.745, -7.802, 5.513]],
  "species": ["Er", "Pm", "Tl", "Er", "Er", "Pm", "Tl", "Er"],
  "fractional_positions": [[0.250, 0.556, 0.113], [0.750, 0.693, 0.385], [0.250, 0.163, 0.325], [0.750, 0.064, 0.128], [0.750, 0.444, 0.887], [0.250, 0.307, 0.615], [0.750, 0.837, 0.675], [0.250, 0.936, 0.872]]
}

Name the most stable of them. run B.

Run A
{
  "formula": "PmEr2Tl4",
  "functional": "PBE",
  "state": "relaxed",
  "rho_kg_m3": 10172,
  "volume_a3_per_cell": 211.7,
  "dos_ef_per_ev_atom": 0.993,
  "lattice_angstrom": [[6.157, 0.108, -2.101], [-3.038, 5.272, -2.303], [0.062, -0.108, 6.505]],
  "species": ["Tl", "Tl", "Tl", "Er", "Tl", "Pm", "Er"],
  "fractional_positions": [[0.500, 0.500, 0.500], [0.500, 0.000, 0.000], [0.000, 0.500, 0.000], [0.500, 0.000, 0.500], [0.000, 0.000, 0.500], [0.000, 0.000, 0.000], [0.500, 0.500, 0.000]]
}

Run B
{
  "formula": "PmEr2Tl4",
  "functional": "PBE",
  "state": "relaxed",
  "rho_kg_m3": 10269,
  "volume_a3_per_cell": 209.7,
  "dos_ef_per_ev_atom": 0.689,
  "lattice_angstrom": [[-1.840, 1.104, -4.400], [-2.606, -3.329, -2.469], [-9.940, 2.628, 2.093]],
  "species": ["Tl", "Er", "Tl", "Tl", "Tl", "Er", "Pm"],
  "fractional_positions": [[0.241, 0.241, 0.276], [0.870, 0.870, 0.390], [0.759, 0.759, 0.724], [0.385, 0.385, 0.846], [0.615, 0.615, 0.154], [0.130, 0.130, 0.610], [0.000, 0.000, 0.000]]
}

Name the most stable of them. run A.